This record from Alexandria via LeMat-Bulk describes a relaxed structure of Sc3TlH. The functional is PBE.

The value obtained for the density is 6158 kg/m³. The energy above the most stable polymorph in this dataset is 0.24 eV/f.u.

The space group is Pm-3m (No. 221) and the conventional cell measures 4.510, 4.510 and 4.510 Å, with angles of 90.00, 90.00 and 90.00 degrees. The distinct sites, in fractional coordinates, are Sc at (0.000, 0.000, 0.500), Tl at (0.500, 0.500, 0.500) and H at (0.000, 0.000, 0.000).

This record from Alexandria via LeMat-Bulk describes a relaxed structure of La2PrEr9. The functional is PBE.

The value obtained for the formation energy from the elements is 1.98 kcal/mol of atoms. The value obtained for the density is 8217 kg/m³. The energy above the most stable polymorph in this dataset is 0.62 eV/f.u.

The space group is P6/mmm (No. 191) and the conventional cell measures 11.3199, 11.3199 and 3.5036 Å, with angles of 90.00, 90.00 and 120.00 degrees. The distinct sites, in fractional coordinates, are La at (0.3333, 0.6667, 0.0000), Pr at (0.0000, 0.0000, 0.0000), Er at (0.0000, 0.5000, 0.0000) and Er at (0.1742, 0.3484, 0.5000).

This record from Alexandria via LeMat-Bulk describes a relaxed structure of POs2Se. The functional is PBE.

The value obtained for the density is 10552 kg/m³. The energy above the most stable polymorph in this dataset is 0.30 eV/f.u.

The space group is I-42d (No. 122) and the conventional cell measures 5.342, 5.342 and 10.818 Å, with angles of 90.00, 90.00 and 90.00 degrees. The distinct sites, in fractional coordinates, are P at (0.000, 0.000, 0.000), Os at (0.226, 0.250, 0.125) and Se at (0.000, 0.000, 0.500).

This record from Alexandria via LeMat-Bulk describes a relaxed structure of ReSO2. The functional is PBE.

The value obtained for the density is 5471 kg/m³. The value obtained for the electronic total energy is -0.2500 Ha/atom.

The space group is I4_1/amd (No. 141, origin choice 2) and the conventional cell measures 5.983, 5.983 and 8.487 Å, with angles of 90.00, 90.00 and 90.00 degrees. The distinct sites, in fractional coordinates, are Re at (0.000, 0.250, 0.375), S at (0.000, 0.250, 0.875) and O at (0.000, 0.000, 0.500).